Computed, not measured: a relaxed structure of Cu7Hg6 at the PBE level of DFT.

```
Cu7Hg6
1.0
4.808 -6.972 -0.137
4.808 6.972 -0.137
-5.104 0.000 6.760
Cu Hg
14 12
Direct
0.000 0.000 0.000
0.500 0.500 0.500
0.858 0.172 0.172
0.172 0.858 0.172
0.172 0.172 0.858
0.142 0.828 0.828
0.828 0.142 0.828
0.828 0.828 0.142
0.373 0.179 0.179
0.179 0.373 0.179
0.179 0.179 0.373
0.627 0.821 0.821
0.821 0.627 0.821
0.821 0.821 0.627
0.892 0.108 0.500
0.500 0.892 0.108
0.108 0.500 0.892
0.892 0.500 0.108
0.108 0.892 0.500
0.500 0.108 0.892
0.800 0.446 0.446
0.446 0.800 0.446
0.446 0.446 0.800
0.200 0.554 0.554
0.554 0.200 0.554
0.554 0.554 0.200
```

Output
Total magnetic moment ... 0.000 μB per cell
SG ... R-3m, No. 166
Calculated formation energy ... 0.133 eV/atom
Raw total energy ... -57.51 eV/cell
Energy relative to the lowest polymorph listed for this composition ... 0.000 eV per atom
Crystal system ... trigonal